Entry 1:
First-principles (PBE) data for a relaxed structure of Mn2BeCuPb, as listed in the Alexandria database.

## Properties
- magnetization (μB/f.u.) = 7.86
- VASP energy (eV/atom) = -4.834

POSCAR file:
```
Mn2BeCuPb
1.0
4.621 0.000 0.000
0.000 4.621 0.000
0.000 0.000 4.840
Mn Be Cu Pb
2 1 1 1
Cartesian
0.000 2.310 0.000
2.310 0.000 0.000
0.000 0.000 2.420
2.310 2.310 0.000
2.310 2.310 2.420
```

Entry 2:
First-principles (PBE) data for a relaxed structure of Pr2DyY7, as listed in the Alexandria database.

## Properties
- magnetization (μB/f.u.) = 0.00
- distance to the lowest polymorph of the same formula (eV/atom) = 0.000

POSCAR file:
```
Pr2DyY7
1.0
6.222 0.000 0.000
-1.027 6.143 0.000
-3.106 -2.627 8.601
Pr Dy Y
2 1 7
Cartesian
0.002 -0.514 1.729
2.087 4.030 6.872
1.044 1.758 4.300
-2.061 1.236 6.014
0.005 -1.572 5.152
1.044 2.811 0.869
3.111 0.000 0.000
1.045 0.705 7.732
2.084 5.088 3.449
4.149 2.280 2.587
```

Entry 3:
First-principles (PBE) data for a relaxed structure of YTm4Co, as listed in the Alexandria database.

## Properties
- magnetization (μB/f.u.) = 0.00
- distance to the lowest polymorph of the same formula (eV/atom) = 0.000

POSCAR file:
```
YTm4Co
1.0
-2.864 3.611 7.919
2.864 -3.611 7.919
2.864 3.611 -7.919
Y Tm Co
2 8 2
Cartesian
0.000 0.000 3.129
0.000 0.000 12.708
2.864 1.784 -1.866
0.000 1.628 0.000
2.864 0.000 5.195
2.864 1.784 1.866
0.000 1.827 6.053
0.000 3.611 2.724
0.000 5.595 0.000
0.000 1.827 9.785
1.720 3.611 0.000
1.144 0.000 7.919
```